1.
DFT (PBE-GGA) results for an optimized crystal structure of Ca2CuAgF8.

## Properties
Total energy in eV per atom: -4.777

a = 3.984 Å, b = 5.433 Å, c = 7.956 Å
α = 81.78°, β = 91.52°, γ = 98.39°
Each line ends with the local moment (μB).
Fractional positions:
1 F 0.603 0.756 0.971  0.07
2 F 0.555 0.744 0.472  0.11
3 F 0.945 0.277 0.283  0.10
4 F 0.062 0.777 0.203  0.07
5 F 0.938 0.223 0.797  0.07
6 F 0.397 0.244 0.029  0.07
7 F 0.055 0.723 0.717  0.10
8 Ca 0.504 0.489 0.755  0.00
9 Ca 0.496 0.511 0.245  0.00
10 Ag 0.000 0.000 0.500  0.55
11 Cu 0.000 0.000 0.000  0.69
12 F 0.445 0.256 0.528  0.11

2.
DFT (PBE-GGA) results for an optimized crystal structure of CaCuAgF6.

## Properties
Density of states at the Fermi level in states/eV/f.u.: 2.8
Total energy in eV per atom: -4.413

a = 5.639 Å, b = 5.639 Å, c = 9.421 Å
α = 90.00°, β = 90.00°, γ = 120.00°
Each line ends with the local moment (μB).
Fractional positions:
1 F 0.627 0.669 0.635  0.11
2 F 0.373 0.042 0.135  0.11
3 F 0.331 0.373 0.865  0.11
4 Ag 0.000 0.000 0.500  0.30
5 F 0.669 0.627 0.135  0.11
6 F 0.669 0.042 0.365  0.11
7 Ca 0.333 0.667 0.250  0.00
8 F 0.627 0.958 0.865  0.11
9 Cu 0.667 0.333 0.250  0.94
10 Ag 0.000 0.000 0.000  0.30
11 F 0.958 0.627 0.365  0.11
12 F 0.042 0.373 0.635  0.11
13 F 0.958 0.331 0.135  0.11
14 F 0.331 0.958 0.635  0.11
15 Ca 0.667 0.333 0.750  0.00
16 Cu 0.333 0.667 0.750  0.94
17 F 0.373 0.331 0.365  0.11
18 F 0.042 0.669 0.865  0.11

3.
DFT (PBE-GGA) results for an optimized crystal structure of CaGa2CuAg.

## Properties
ΔE_f in eV per atom: -0.276
Density of states at the Fermi level in states/eV/f.u.: 2.1
Total energy in eV per atom: -3.277

a = 4.408 Å, b = 4.408 Å, c = 5.992 Å
α = 111.58°, β = 111.58°, γ = 90.00°
Fractional positions:
1 Ca 0.000 0.000 0.000
2 Ag 0.750 0.250 0.500
3 Cu 0.250 0.750 0.500
4 Ga 0.623 0.623 0.246
5 Ga 0.377 0.377 0.754

4.
DFT (PBE-GGA) results for an optimized crystal structure of Ca2Ga3Cu12Ag.

## Properties
ΔE_f in eV per atom: 0.072
Density of states at the Fermi level in states/eV/f.u.: 7.1
Total energy in eV per atom: -3.544

a = 6.573 Å, b = 6.573 Å, c = 6.573 Å
α = 85.70°, β = 85.70°, γ = 85.70°
Fractional positions:
1 Cu 0.199 0.199 0.710
2 Cu 0.135 0.585 0.585
3 Ca 0.708 0.708 0.708
4 Cu 0.415 0.415 0.865
5 Ga 0.000 0.000 0.500
6 Cu 0.865 0.415 0.415
7 Cu 0.801 0.801 0.290
8 Cu 0.585 0.585 0.135
9 Cu 0.415 0.865 0.415
10 Cu 0.585 0.135 0.585
11 Ca 0.292 0.292 0.292
12 Ag 0.000 0.000 0.000
13 Cu 0.199 0.710 0.199
14 Ga 0.000 0.500 0.000
15 Ga 0.500 0.000 0.000
16 Cu 0.290 0.801 0.801
17 Cu 0.710 0.199 0.199
18 Cu 0.801 0.290 0.801

5.
DFT (PBE-GGA) results for an optimized crystal structure of CaGa4CuAg2.

## Properties
ΔE_f in eV per atom: -0.134
Density of states at the Fermi level in states/eV/f.u.: 3.5
Total energy in eV per atom: -3.122

a = 4.424 Å, b = 4.424 Å, c = 9.430 Å
α = 76.43°, β = 76.43°, γ = 60.00°
Fractional positions:
1 Ga 0.401 0.401 0.797
2 Cu 0.500 0.500 0.500
3 Ga 0.599 0.599 0.203
4 Ag 0.242 0.242 0.275
5 Ca 0.000 0.000 0.000
6 Ag 0.758 0.758 0.725
7 Ga 0.131 0.131 0.607
8 Ga 0.869 0.869 0.393

6.
DFT (PBE-GGA) results for an optimized crystal structure of CaGa3CuAg.

## Properties
ΔE_f in eV per atom: -0.160
Density of states at the Fermi level in states/eV/f.u.: 1.4
Total energy in eV per atom: -3.165

a = 6.222 Å, b = 5.950 Å, c = 7.024 Å
α = 115.06°, β = 90.00°, γ = 90.00°
Fractional positions:
1 Ag 0.250 0.343 0.686
2 Ca 0.250 0.710 0.420
3 Ga 0.250 0.134 0.269
4 Cu 0.250 0.931 0.862
5 Ga 0.750 0.866 0.731
6 Ga 0.000 0.714 0.000
7 Ca 0.750 0.290 0.580
8 Ga 0.500 0.714 0.000
9 Ag 0.750 0.657 0.314
10 Ga 0.500 0.286 0.000
11 Ga 0.000 0.286 0.000
12 Cu 0.750 0.069 0.138

7.
DFT (PBE-GGA) results for an optimized crystal structure of CaGaCuAg.

## Properties
ΔE_f in eV per atom: -0.148
Density of states at the Fermi level in states/eV/f.u.: 1.9
Total energy in eV per atom: -3.142

a = 4.758 Å, b = 4.758 Å, c = 4.758 Å
α = 60.00°, β = 60.00°, γ = 60.00°
Fractional positions:
1 Ag 0.750 0.750 0.750
2 Cu 0.250 0.250 0.250
3 Ga 0.500 0.500 0.500
4 Ca 0.000 0.000 0.000

8.
DFT (PBE-GGA) results for an optimized crystal structure of CaGdCuAg.

## Properties
ΔE_f in eV per atom: -0.199
Density of states at the Fermi level in states/eV/f.u.: 3.7
Total energy in eV per atom: -5.956

a = 5.103 Å, b = 5.103 Å, c = 5.103 Å
α = 60.00°, β = 60.00°, γ = 60.00°
Each line ends with the local moment (μB).
Fractional positions:
1 Ca 0.500 0.500 0.500  0.01
2 Gd 0.000 0.000 0.000  7.06
3 Cu 0.250 0.250 0.250  0.00
4 Ag 0.750 0.750 0.750  0.01

9.
DFT (PBE-GGA) results for an optimized crystal structure of CaCuAgGe2.

## Properties
ΔE_f in eV per atom: -0.304
Density of states at the Fermi level in states/eV/f.u.: 1.8
Total energy in eV per atom: -3.941

a = 4.273 Å, b = 4.273 Å, c = 6.134 Å
α = 110.38°, β = 110.38°, γ = 90.00°
Fractional positions:
1 Ge 0.615 0.615 0.230
2 Cu 0.250 0.750 0.500
3 Ge 0.385 0.385 0.770
4 Ag 0.750 0.250 0.500
5 Ca 0.000 0.000 0.000

10.
DFT (PBE-GGA) results for an optimized crystal structure of Ca2Cu3AgGe4.

## Properties
ΔE_f in eV per atom: -0.311
Density of states at the Fermi level in states/eV/f.u.: 3.5
Total energy in eV per atom: -4.073

a = 4.212 Å, b = 4.212 Å, c = 10.503 Å
α = 90.00°, β = 90.00°, γ = 90.00°
Fractional positions:
1 Ca 0.000 0.500 0.752
2 Cu 0.500 0.000 0.872
3 Ge 0.000 0.000 0.000
4 Ge 0.000 0.500 0.356
5 Ge 0.500 0.000 0.644
6 Ca 0.500 0.000 0.248
7 Cu 0.000 0.500 0.128
8 Cu 0.000 0.000 0.500
9 Ge 0.500 0.500 0.000
10 Ag 0.500 0.500 0.500

Computed total magnetic moment (Bohr magnetons per cell) in order:
1.982 3.921 0.000 0.000 0.000 0.000 0.000 7.278 0.000 0.000